Entry 1:
A plane-wave DFT calculation with PBE was carried out for a relaxed structure of CeThZnGe.

abc: 5.162 5.162 5.162
angles: 60.00 60.00 60.00
Sites, in units of the cell vectors:
1 Ce 0.000 0.000 0.000
2 Th 0.500 0.500 0.500
3 Zn 0.750 0.750 0.750
4 Ge 0.250 0.250 0.250

Properties
The calculation puts the total DFT energy (no corrections) at -5.183 eV/atom. As for the crystal system: cubic. The total magnetic moment is 1.28 μB/f.u.

Entry 2:
A plane-wave DFT calculation with PBE was carried out for a relaxed structure of CeTi2Ge.

abc: 4.840 4.840 4.840
angles: 56.50 56.50 56.50
Sites, in units of the cell vectors:
1 Ce 0.000 0.000 0.000
2 Ti 0.227 0.227 0.227
3 Ti 0.773 0.773 0.773
4 Ge 0.500 0.500 0.500

Properties
The calculation puts the total DFT energy (no corrections) at -6.781 eV/atom. As for the crystal system: trigonal. The total magnetic moment is 0.00 μB/f.u. The energy above the most stable polymorph in this dataset is 81 meV per atom.

Entry 3:
A plane-wave DFT calculation with PBE was carried out for a relaxed structure of Ce3TiGe6.

abc: 7.581 7.581 7.581
angles: 96.94 96.94 96.94
Sites, in units of the cell vectors:
1 Ce 0.181 0.750 0.319
2 Ce 0.250 0.681 0.819
3 Ce 0.319 0.181 0.750
4 Ce 0.681 0.819 0.250
5 Ce 0.750 0.319 0.181
6 Ce 0.819 0.250 0.681
7 Ti 0.000 0.000 0.000
8 Ti 0.500 0.500 0.500
9 Ge 0.012 0.089 0.360
10 Ge 0.089 0.360 0.012
11 Ge 0.140 0.411 0.488
12 Ge 0.360 0.012 0.089
13 Ge 0.411 0.488 0.140
14 Ge 0.488 0.140 0.411
15 Ge 0.512 0.860 0.589
16 Ge 0.589 0.512 0.860
17 Ge 0.640 0.988 0.911
18 Ge 0.860 0.589 0.512
19 Ge 0.911 0.640 0.988
20 Ge 0.988 0.911 0.640

Properties
The calculation puts the total DFT energy (no corrections) at -5.955 eV/atom. As for the crystal system: trigonal. The total magnetic moment is 0.94 μB/f.u.

Entry 4:
A plane-wave DFT calculation with PBE was carried out for a relaxed structure of CeTiGe3.

abc: 6.257 6.257 5.822
angles: 90.00 90.00 120.00
Sites, in units of the cell vectors:
1 Ce 0.333 0.667 0.250
2 Ce 0.667 0.333 0.750
3 Ti 0.000 0.000 0.000
4 Ti 0.000 0.000 0.500
5 Ge 0.197 0.395 0.750
6 Ge 0.197 0.803 0.750
7 Ge 0.395 0.197 0.250
8 Ge 0.605 0.803 0.750
9 Ge 0.803 0.197 0.250
10 Ge 0.803 0.605 0.250

Properties
The calculation puts the total DFT energy (no corrections) at -6.208 eV/atom. As for the crystal system: hexagonal. The total magnetic moment is 0.60 μB/f.u.

Entry 5:
A plane-wave DFT calculation with PBE was carried out for a relaxed structure of CeTi2Ge.

abc: 4.412 4.412 3.740
angles: 90.00 90.00 90.00
Sites, in units of the cell vectors:
1 Ce 0.000 0.000 0.000
2 Ti 0.000 0.500 0.500
3 Ti 0.500 0.000 0.500
4 Ge 0.500 0.500 0.000

Properties
The calculation puts the total DFT energy (no corrections) at -6.862 eV/atom. As for the crystal system: tetragonal. The total magnetic moment is 0.00 μB/f.u. The energy above the most stable polymorph in this dataset is 0 meV per atom.

Entry 6:
A plane-wave DFT calculation with PBE was carried out for a relaxed structure of Ce3Ti2Ge4.

abc: 6.303 6.303 8.606
angles: 109.49 109.49 38.80
Sites, in units of the cell vectors:
1 Ce 0.000 0.000 0.000
2 Ce 0.382 0.382 0.303
3 Ce 0.618 0.618 0.697
4 Ti 0.306 0.306 0.632
5 Ti 0.694 0.694 0.368
6 Ge 0.081 0.081 0.408
7 Ge 0.288 0.288 0.927
8 Ge 0.712 0.712 0.073
9 Ge 0.919 0.919 0.592

Properties
The calculation puts the total DFT energy (no corrections) at -6.391 eV/atom. As for the crystal system: monoclinic. The total magnetic moment is 2.59 μB/f.u.

Copy entry 6 word for word.
A plane-wave DFT calculation with PBE was carried out for a relaxed structure of Ce3Ti2Ge4.

abc: 6.303 6.303 8.606
angles: 109.49 109.49 38.80
Sites, in units of the cell vectors:
1 Ce 0.000 0.000 0.000
2 Ce 0.382 0.382 0.303
3 Ce 0.618 0.618 0.697
4 Ti 0.306 0.306 0.632
5 Ti 0.694 0.694 0.368
6 Ge 0.081 0.081 0.408
7 Ge 0.288 0.288 0.927
8 Ge 0.712 0.712 0.073
9 Ge 0.919 0.919 0.592

Properties
The calculation puts the total DFT energy (no corrections) at -6.391 eV/atom. As for the crystal system: monoclinic. The total magnetic moment is 2.59 μB/f.u.